No. 1
## Pm2YHo2Mg5 (PBE)

Data for a relaxed structure of Pm2YHo2Mg5.

Summary:
Total magnetization   0.00 μB per formula unit
Space group   P4/mbm, No. 127
Electronic total energy   -0.1205 hartree per atom
ΔH_f (0 K)   0.31 eV per formula unit

Cell: 10.616 10.616 5.071 Å, 90.00 90.00 90.00°
Fractional positions:
Pm1 0.177 0.323 0.000
Pm2 0.323 0.823 0.000
Pm3 0.677 0.177 0.000
Pm4 0.823 0.677 0.000
Y1 0.000 0.000 0.000
Y2 0.500 0.500 0.000
Ho1 0.120 0.620 0.000
Ho2 0.380 0.120 0.000
Ho3 0.620 0.880 0.000
Ho4 0.880 0.380 0.000
Mg1 0.000 0.500 0.500
Mg2 0.069 0.802 0.500
Mg3 0.198 0.069 0.500
Mg4 0.302 0.569 0.500
Mg5 0.431 0.302 0.500
Mg6 0.500 0.000 0.500
Mg7 0.569 0.698 0.500
Mg8 0.698 0.431 0.500
Mg9 0.802 0.931 0.500
Mg10 0.931 0.198 0.500

No. 2
## TcRh2Se (PBE)

Data for a relaxed structure of TcRh2Se.

Summary:
Total magnetization   0.00 μB per formula unit
Space group   P4/mmm, No. 123
Electronic total energy   -0.2600 hartree per atom
E_form (uncorrected)   0.062 eV/atom

Cell: 2.828 2.828 7.549 Å, 90.00 90.00 90.00°
Fractional positions:
Tc1 0.000 0.000 0.000
Rh1 0.500 0.500 0.241
Rh2 0.500 0.500 0.759
Se1 0.000 0.000 0.500

No. 3
## Ta2TlRh (PBE)

Data for a relaxed structure of Ta2TlRh.

Summary:
Total magnetization   0.00 μB per formula unit
Space group   I-4m2, No. 119
Energy above the lowest structure with this stoichiometry   0.1788 eV/atom
Electronic total energy   -0.2979 hartree per atom
ΔH_f (0 K)   0.99 eV per formula unit

Cell: 5.269 5.269 5.269 Å, 134.88 134.88 65.71°
Fractional positions:
Ta1 0.000 0.000 0.000
Ta2 0.750 0.250 0.500
Tl1 0.250 0.750 0.500
Rh1 0.500 0.500 0.000

No. 4
## KBe2Al (PBE)

Data for a relaxed structure of KBe2Al.

Summary:
Total magnetization   0.00 μB per formula unit
Space group   Cmmm, No. 65
Electronic total energy   -0.0738 hartree per atom
ΔH_f (0 K)   4.26 eV per formula unit

Cell: 5.531 5.531 2.544 Å, 90.00 90.00 106.49°
Fractional positions:
K1 0.000 0.000 0.000
Be1 0.000 0.500 0.500
Be2 0.500 0.000 0.500
Al1 0.500 0.500 0.000

No. 5
## NaCa2Ga (PBE)

Data for a relaxed structure of NaCa2Ga.

Summary:
Total magnetization   0.00 μB per formula unit
Space group   R-3m, No. 166
Electronic total energy   -0.0806 hartree per atom
ΔH_f (0 K)   -0.42 eV per formula unit

Cell: 10.802 10.802 10.802 Å, 20.80 20.80 20.80°
Fractional positions:
Na1 0.000 0.000 0.000
Ca1 0.232 0.232 0.232
Ca2 0.768 0.768 0.768
Ga1 0.500 0.500 0.500

No. 6
## Zn2Sn (PBE)

Data for a relaxed structure of Zn2Sn.

Summary:
Total magnetization   0.00 μB per formula unit
Space group   P-1, No. 2
Electronic total energy   -0.0767 hartree per atom
ΔH_f (0 K)   0.29 eV per formula unit

Cell: 3.378 4.372 4.522 Å, 75.91 68.94 87.35°
Fractional positions:
Zn1 0.162 0.126 0.174
Zn2 0.838 0.874 0.826
Sn1 0.500 0.500 0.500

No. 7
## Dy4Y3ScS8 (PBE)

Data for a relaxed structure of Dy4Y3ScS8.

Summary:
Total magnetization   0.00 μB per formula unit
Space group   R-3m, No. 166
Electronic total energy   -0.2494 hartree per atom
E_form (uncorrected)   -1.965 eV/atom

Cell: 7.774 7.774 7.774 Å, 60.02 60.02 60.02°
Fractional positions:
Dy1 0.000 0.000 0.000
Dy2 0.000 0.500 0.500
Dy3 0.500 0.000 0.500
Dy4 0.500 0.500 0.000
Y1 0.000 0.000 0.500
Y2 0.000 0.500 0.000
Y3 0.500 0.000 0.000
Sc1 0.500 0.500 0.500
S1 0.250 0.250 0.250
S2 0.255 0.255 0.744
S3 0.255 0.744 0.255
S4 0.256 0.745 0.745
S5 0.744 0.255 0.255
S6 0.745 0.256 0.745
S7 0.745 0.745 0.256
S8 0.750 0.750 0.750

No. 8
## Pa4MnSe3 (PBE)

Data for a relaxed structure of Pa4MnSe3.

Summary:
Total magnetization   0.00 μB per formula unit
Space group   P2/c, No. 13
Electronic total energy   -0.2977 hartree per atom
E_form (uncorrected)   -0.899 eV/atom

Cell: 7.144 8.175 6.770 Å, 90.00 108.18 90.00°
Fractional positions:
Pa1 0.213 0.117 0.023
Pa2 0.213 0.883 0.523
Pa3 0.238 0.363 0.485
Pa4 0.238 0.637 0.985
Pa5 0.762 0.363 0.015
Pa6 0.762 0.637 0.515
Pa7 0.787 0.117 0.477
Pa8 0.787 0.883 0.977
Mn1 0.000 0.121 0.250
Mn2 0.000 0.879 0.750
Se1 0.000 0.375 0.750
Se2 0.000 0.625 0.250
Se3 0.500 0.126 0.750
Se4 0.500 0.380 0.250
Se5 0.500 0.620 0.750
Se6 0.500 0.874 0.250